No. 1
Material: Dy5Tm2Mg5
Method: DFT, GGA-PBE
State: optimized geometry

Geometry as POSCAR:
```
Dy5Tm2Mg5
1.0
3.542 0.000 0.557
1.376 8.129 2.787
-0.019 0.010 11.656
Dy Mg Tm
5 5 2
direct
0.500 0.500 0.500 Dy
0.334 0.312 0.019 Dy
0.666 0.688 0.981 Dy
0.448 0.861 0.243 Dy
0.552 0.139 0.757 Dy
0.225 0.826 0.724 Mg
0.775 0.174 0.276 Mg
0.000 0.000 0.000 Mg
0.830 0.840 0.500 Mg
0.170 0.160 0.500 Mg
0.123 0.513 0.242 Tm
0.877 0.487 0.758 Tm
```

Computed properties:
Symmetry: C2/m
Distance to the lowest polymorph of the same formula, eV/atom: 0.000
Formation energy from the elements, eV/f.u.: -0.40
Total DFT energy (no corrections), eV/atom: -3.3608



No. 2
Material: Dy4Tm2Mg
Method: DFT, GGA-PBE
State: optimized geometry

Geometry as POSCAR:
```
Dy4Tm2Mg
1.0
3.583 0.000 0.000
0.000 5.294 -2.506
0.000 0.754 11.300
Tm Dy Mg
2 4 1
direct
0.500 0.000 0.500 Tm
0.000 0.500 0.500 Tm
0.500 0.823 0.749 Dy
0.000 0.353 0.797 Dy
0.500 0.177 0.251 Dy
0.000 0.647 0.203 Dy
0.000 0.000 0.000 Mg
```

Computed properties:
Symmetry: P2/m
Distance to the lowest polymorph of the same formula, eV/atom: 0.030
Formation energy from the elements, eV/f.u.: 0.97
Total DFT energy (no corrections), eV/atom: -3.9972



No. 3
Material: Dy2Tm5Mg
Method: DFT, GGA-PBE
State: optimized geometry

Geometry as POSCAR:
```
Dy2Tm5Mg
1.0
6.923 0.000 0.000
0.000 6.924 0.000
-3.462 -3.462 4.935
Dy Tm Mg
2 5 1
direct
0.723 0.222 0.444 Dy
0.222 0.722 0.444 Dy
0.222 0.222 0.945 Tm
0.722 0.222 0.944 Tm
0.722 0.722 0.444 Tm
0.222 0.722 0.945 Tm
0.722 0.722 0.944 Tm
0.222 0.222 0.444 Mg
```

Computed properties:
Symmetry: I4/mmm
Distance to the lowest polymorph of the same formula, eV/atom: 0.006
Formation energy from the elements, eV/f.u.: 0.21
Total DFT energy (no corrections), eV/atom: -4.1179



No. 4
Material: Dy3Tm4Mg2
Method: DFT, GGA-PBE
State: optimized geometry

Geometry as POSCAR:
```
Dy3Tm4Mg2
1.0
-1.140 2.271 -4.148
-6.518 2.713 3.276
5.965 3.692 3.235
Tm Mg Dy
4 2 3
direct
0.556 0.335 0.113 Tm
0.444 0.665 0.887 Tm
0.779 0.668 0.557 Tm
0.221 0.332 0.443 Tm
0.331 0.000 0.661 Mg
0.669 0.000 0.339 Mg
0.112 0.665 0.223 Dy
0.888 0.335 0.777 Dy
0.000 0.000 0.000 Dy
```

Computed properties:
Symmetry: C2/m
Formation energy from the elements, eV/f.u.: 0.11
Total DFT energy (no corrections), eV/atom: -3.8637